1.
A geometry-optimized MgTlPd2N structure. Source: Alexandria via LeMat-Bulk, functional PBEsol.

a b c (Å): 4.6164 4.6164 5.3698
angles (deg): 90.00 90.00 90.00
Each line ends with the local moment (μB).
Element x y z (fractional)
N 0.5000 0.5000 0.5000  1.50
Mg 0.0000 0.0000 0.0000  -0.01
Pd 0.5000 0.0000 0.0000  0.03
Pd 0.0000 0.5000 0.0000  0.03
Tl 0.0000 0.0000 0.5000  0.00

## Properties
M_tot	2.13	μB/f.u.
electronic total energy	-3.3478	eV/atom
volume	22.9	A^3/atom

=====

2.
A geometry-optimized MgZn2PdN structure. Source: Alexandria via LeMat-Bulk, functional PBEsol.

a b c (Å): 3.6210 4.8156 4.8156
angles (deg): 90.00 90.00 90.00
Element x y z (fractional)
N 0.5000 0.0000 0.0000
Zn 0.0000 0.5000 0.0000
Mg 0.0000 0.0000 0.0000
Zn 0.0000 0.0000 0.5000
Pd 0.5000 0.5000 0.5000

## Properties
M_tot	0.00	μB/f.u.
electronic total energy	-2.9239	eV/atom
volume	16.8	A^3/atom

=====

3.
A geometry-optimized MgPtSeN2 structure. Source: Alexandria via LeMat-Bulk, functional PBEsol.

a b c (Å): 3.7011 3.7011 7.5676
angles (deg): 90.00 90.00 90.00
Element x y z (fractional)
Mg 0.5000 0.5000 0.5000
N 0.0000 0.5000 0.0000
Se 0.0000 0.0000 0.5000
N 0.5000 0.0000 0.0000
Pt 0.0000 0.0000 0.0000

## Properties
M_tot	0.00	μB/f.u.
electronic total energy	-5.3370	eV/atom
volume	20.7	A^3/atom

=====

4.
A geometry-optimized MgPtSe2N structure. Source: Alexandria via LeMat-Bulk, functional PBEsol.

a b c (Å): 3.6281 5.1912 5.1912
angles (deg): 90.00 90.00 90.00
Element x y z (fractional)
Pt 0.0000 0.0000 0.0000
Se 0.0000 0.5000 0.0000
Se 0.0000 0.0000 0.5000
N 0.5000 0.0000 0.0000
Mg 0.5000 0.5000 0.5000

## Properties
M_tot	0.00	μB/f.u.
electronic total energy	-4.8630	eV/atom
volume	19.6	A^3/atom

=====

5.
A geometry-optimized MgTePtN2 structure. Source: Alexandria via LeMat-Bulk, functional PBEsol.

a b c (Å): 3.9092 3.9092 5.9366
angles (deg): 90.00 90.00 90.00
Each line ends with the local moment (μB).
Element x y z (fractional)
Mg 0.0000 0.0000 0.0000  0.02
Te 0.0000 0.0000 0.5000  0.09
N 0.5000 0.0000 0.0000  1.10
N 0.0000 0.5000 0.0000  1.10
Pt 0.5000 0.5000 0.5000  0.20

## Properties
M_tot	3.54	μB/f.u.
electronic total energy	-4.4116	eV/atom
volume	18.1	A^3/atom

=====

6.
A geometry-optimized Rb2MgN structure. Source: Alexandria via LeMat-Bulk, functional PBEsol.

a b c (Å): 3.9260 8.9948 8.9948
angles (deg): 87.27 77.39 77.39
Element x y z (fractional)
Mg 0.0000 0.0000 0.0000
Rb 0.4175 0.2075 0.7075
Mg 0.7500 0.5000 0.5000
N 0.2500 0.5000 0.5000
Rb 0.8750 0.7075 0.7925
Rb 0.3750 0.2925 0.2075
Rb 0.3325 0.7925 0.2925
N 0.5000 0.0000 0.0000

## Properties
M_tot	0.00	μB/f.u.
electronic total energy	-2.9790	eV/atom
volume	37.8	A^3/atom

=====

Repeat the sixth record exactly.
A geometry-optimized Rb2MgN structure. Source: Alexandria via LeMat-Bulk, functional PBEsol.

a b c (Å): 3.9260 8.9948 8.9948
angles (deg): 87.27 77.39 77.39
Element x y z (fractional)
Mg 0.0000 0.0000 0.0000
Rb 0.4175 0.2075 0.7075
Mg 0.7500 0.5000 0.5000
N 0.2500 0.5000 0.5000
Rb 0.8750 0.7075 0.7925
Rb 0.3750 0.2925 0.2075
Rb 0.3325 0.7925 0.2925
N 0.5000 0.0000 0.0000

## Properties
M_tot	0.00	μB/f.u.
electronic total energy	-2.9790	eV/atom
volume	37.8	A^3/atom

=====

- What is the electronic total energy in the fourth record?
  -4.8630 eV/atom

=====

- Which value of electronic total energy does entry 3 give?
  -5.3370 eV/atom

=====

- Number 2 is which compound?
  MgZn2PdN